A plane-wave DFT calculation with GGA-PBE was carried out for an optimized crystal structure of YMgMo2.

The structure belongs to space group I-42d (No. 122); the cell edges are 7.7574, 7.7574 and 5.4378 Å and the angles 90.00°, 90.00° and 90.00°. The distinct sites, in fractional coordinates, are Y at (0.0000, 0.0000, 0.0000), Mg at (0.0000, 0.0000, 0.5000) and Mo at (0.2221, 0.2500, 0.6250).

As for the total energy: -6.4635 eV/atom. Its formation energy is 0.967 eV per atom. As for the density of states at the Fermi level: 14.2 states/eV per cell.